# 1
# CaScCu2

A relaxed CaScCu2 crystal (GGA-PBE, Alexandria via LeMat-Bulk).

E_form = 0.006 eV per atom
DOS(E_F) = 6.63 states/eV/cell
Offset from the most stable computed form = 70 kJ/mol of formula units

Lattice parameters (Å, degrees): 3.266 4.696 10.223 90.00 90.00 90.00
Space group Imm2 (No. 44)
Unique sites:
Ca1 0.000 0.000 0.000 x2
Sc1 0.000 0.500 0.795 x2
Cu1 0.000 0.000 0.547 x2
Cu2 0.000 0.500 0.234 x2



# 2
# LiNdNiAu

A relaxed LiNdNiAu crystal (GGA-PBE, Alexandria via LeMat-Bulk).

E_form = -0.303 eV per atom
DOS(E_F) = 12.88 states/eV/cell

Lattice parameters (Å, degrees): 6.846 6.846 6.846 90.00 90.00 90.00
Space group F-43m (No. 216)
Unique sites:
Li1 0.000 0.000 0.000 x4
Nd1 0.000 0.000 0.500 x4
Ni1 0.250 0.250 0.750 x4
Au1 0.250 0.250 0.250 x4



# 3
# ThSc2Mn

A relaxed ThSc2Mn crystal (GGA-PBE, Alexandria via LeMat-Bulk).

E_form = 0.282 eV per atom
DOS(E_F) = 13.22 states/eV/cell
Offset from the most stable computed form = 75 kJ/mol of formula units

Lattice parameters (Å, degrees): 3.3098 3.3098 28.6461 90.00 90.00 120.00
Space group R-3m (No. 166, hexagonal axes)
Unique sites:
Th1 0.0000 0.0000 0.0000 x3
Sc1 0.0000 0.0000 0.2291 x6
Mn1 0.0000 0.0000 0.5000 x3



# 4
# KTaCl2

A relaxed KTaCl2 crystal (GGA-PBE, Alexandria via LeMat-Bulk).

Formation energy from raw total energies = -0.7 eV per formula unit
DOS(E_F) = 3.33 states/eV/cell
Offset from the most stable computed form = 97 kJ/mol of formula units

Lattice parameters (Å, degrees): 3.174 4.571 13.889 90.00 90.00 90.00
Space group Imm2 (No. 44)
Unique sites:
K1 0.000 0.000 0.000 x2
Ta1 0.000 0.500 0.262 x2
Cl1 0.000 0.000 0.604 x2
Cl2 0.000 0.500 0.785 x2



# 5
# FeRu2Pb

A relaxed FeRu2Pb crystal (GGA-PBE, Alexandria via LeMat-Bulk).

E_form = 0.534 eV per atom
DOS(E_F) = 8.95 states/eV/cell

Lattice parameters (Å, degrees): 3.330 4.346 8.847 90.00 90.00 90.00
Space group Imm2 (No. 44)
Unique sites:
Fe1 0.000 0.000 0.000 x2
Ru1 0.000 0.000 0.516 x2
Ru2 0.000 0.500 0.277 x2
Pb1 0.000 0.500 0.752 x2



# 6
# Ce2Th2Sb2C

A relaxed Ce2Th2Sb2C crystal (GGA-PBE, Alexandria via LeMat-Bulk).

Formation energy from raw total energies = -4.3 eV per formula unit
DOS(E_F) = 33.39 states/eV/cell

Lattice parameters (Å, degrees): 4.952 4.952 16.444 90.00 90.00 90.00
Space group I4/mmm (No. 139)
Unique sites:
Ce1 0.000 0.000 0.158 x4
Th1 0.000 0.500 0.000 x4
Sb1 0.000 0.000 0.358 x4
C1 0.000 0.000 0.000 x2



# 7
# Cs9K11Na4

A relaxed Cs9K11Na4 crystal (GGA-PBE, Alexandria via LeMat-Bulk).

E_form = 0.025 eV per atom
DOS(E_F) = 42.09 states/eV/cell

Lattice parameters (Å, degrees): 21.489 32.219 5.611 90.00 90.00 90.00
Space group Cmmm (No. 65)
Unique sites:
Cs1 0.000 0.000 0.000 x2
Cs2 0.117 0.247 0.000 x8
Cs3 0.145 0.423 0.000 x8
K1 0.000 0.131 0.500 x4
K2 0.000 0.346 0.500 x4
K3 0.000 0.500 0.500 x2
K4 0.189 0.000 0.500 x4
K5 0.240 0.165 0.500 x8
Na1 0.142 0.098 0.000 x8



# 8
# NaB3Se

A relaxed NaB3Se crystal (GGA-PBE, Alexandria via LeMat-Bulk).

Formation energy from raw total energies = 9.4 eV per formula unit
DOS(E_F) = 2.41 states/eV/cell
Offset from the most stable computed form = 0 kJ/mol of formula units

Lattice parameters (Å, degrees): 4.256 4.256 4.256 90.00 90.00 90.00
Space group Pm-3m (No. 221)
Unique sites:
Na1 0.000 0.000 0.000 x1
B1 0.000 0.500 0.500 x3
Se1 0.500 0.500 0.500 x1